The following is a DFT calculation (GGA-PBE) of a geometry-optimized AgPdPb3 structure.

Cell: 11.0279 8.8951 6.8252 Å, 90.00 127.84 90.00°
Last column: nearest neighbours and their distance in Å.
Space group C2/m (No. 12)
Unique sites:
Ag: 0.0620 0.0000 0.3699 [4 per cell]  2 Pd 2.78-2.82, 1 Ag 2.83, 2 Pb 3.09
Pd: 0.2453 0.5000 0.1066 [4 per cell]  2 Ag 2.78-2.82, 6 Pb 2.81-3.03
Pb: 0.0660 0.5000 0.3097 [4 per cell]  2 Pd 2.81-3.03
Pb: 0.1934 0.1974 0.1681 [8 per cell]  2 Pd 2.84-2.93, 1 Ag 3.09

Summary:
The calculation puts the total magnetization at 0.00 μB per cell. The calculation puts the formation energy at 0.00 eV/f.u. As for the excess energy over the best structure of this formula in the dataset: 0 meV per atom. For the density of states at the Fermi level, the calculation gives 0.49 states/eV/atom.